Entry 1:
{"formula": "BaSn2SeO2", "functional": "PBE", "state": "relaxed", "cell": [[7.188, 0.000, 0.000], [0.000, 6.173, 0.000], [-0.831, 0.000, 7.513]], "species": ["Ba", "Ba", "Sn", "Sn", "Sn", "Sn", "Se", "Se", "O", "O", "O", "O"], "frac_coords": [[0.219, 0.250, 0.417], [0.781, 0.750, 0.583], [0.224, 0.503, 0.908], [0.224, 0.997, 0.908], [0.776, 0.003, 0.092], [0.776, 0.497, 0.092], [0.320, 0.750, 0.608], [0.680, 0.250, 0.392], [0.002, 0.750, 0.887], [0.120, 0.250, 0.736], [0.880, 0.750, 0.264], [0.998, 0.250, 0.113]], "space_group": "No. 11", "raw_formation_energy_mev_per_atom": -1385.4}


Entry 2:
{"formula": "Ac2MgWN4", "functional": "PBE", "state": "relaxed", "cell": [[0.000, 5.775, 9.587], [2.523, 0.000, 9.587], [2.523, 5.775, 0.000]], "species": ["Ac", "Ac", "Ac", "Ac", "Mg", "Mg", "W", "W", "N", "N", "N", "N", "N", "N", "N", "N"], "frac_coords": [[0.051, 0.051, 0.699], [0.301, 0.301, 0.949], [0.699, 0.699, 0.051], [0.949, 0.949, 0.301], [0.125, 0.125, 0.125], [0.875, 0.875, 0.875], [0.375, 0.375, 0.375], [0.625, 0.625, 0.625], [0.016, 0.326, 0.452], [0.294, 0.548, 0.674], [0.326, 0.016, 0.706], [0.452, 0.706, 0.016], [0.548, 0.294, 0.984], [0.674, 0.984, 0.294], [0.706, 0.452, 0.326], [0.984, 0.674, 0.548]], "space_group": "No. 70", "raw_formation_energy_mev_per_atom": -500.7}


What is the formula in the first record?
BaSn2SeO2